The following is a DFT calculation (PBE) of a relaxed structure of Mg2CuRe.

Structure (extended XYZ):
```
4
Lattice="-3.864 2.010 -1.062 -1.196 0.430 -4.300 -3.408 -2.414 -1.631" Properties=species:S:1:pos:R:3 pbc="T T T"
Mg -2.117 0.006 -1.748
Mg 0.000 0.000 0.000
Re -6.351 0.019 -5.245
Cu -4.234 0.013 -3.496
```

**Density**: 7.8 g cm⁻³
**Relative energy among the computed polymorphs**: 0.332 eV per atom
**Calculated total energy**: -4.435 eV/atom
**Formation enthalpy at 0 K**: 498 meV per atom


The following is a DFT calculation (PBE) of a relaxed structure of MgCuRe2.

Structure (extended XYZ):
```
4
Lattice="-2.403 1.184 -0.345 0.473 -0.580 2.595 3.802 8.038 1.102" Properties=species:S:1:pos:R:3 pbc="T T T"
Cu 1.887 3.990 0.547
Mg 1.858 6.272 1.944
Re -0.010 2.322 1.402
Re 0.037 0.079 0.011
```

**Density**: 12.6 g cm⁻³
**Calculated total energy**: -7.386 eV/atom
**Formation enthalpy at 0 K**: 260 meV per atom